SmTl3 | GGA-PBE | relaxed

abc: 4.769 4.769 4.767
angles: 90.00 90.00 90.00
Positions (direct):
Sm 0.000 0.000 0.000
Tl 0.500 0.500 0.000
Tl 0.500 0.000 0.500
Tl 0.000 0.500 0.500

Total moment (μB/cell): 0.0
Raw total energy (eV per cell): -12.914

=====

Sm3Tl5 | GGA-PBE | relaxed

abc: 6.548 6.548 10.549
angles: 90.00 90.00 77.72
Positions (direct):
Sm 0.205 0.205 0.000
Sm 0.795 0.795 0.000
Sm 0.382 0.618 0.250
Sm 0.205 0.205 0.500
Sm 0.795 0.795 0.500
Sm 0.618 0.382 0.750
Tl 0.695 0.305 0.040
Tl 0.995 0.005 0.250
Tl 0.490 0.070 0.250
Tl 0.930 0.510 0.250
Tl 0.695 0.305 0.460
Tl 0.305 0.695 0.540
Tl 0.070 0.490 0.750
Tl 0.510 0.930 0.750
Tl 0.005 0.995 0.750
Tl 0.305 0.695 0.960

Total moment (μB/cell): 0.0
Raw total energy (eV per cell): -57.529

=====

Sm2Tl2W | GGA-PBE | relaxed

abc: 4.922 4.922 6.770
angles: 90.00 90.00 120.00
Positions (direct):
Sm 0.333 0.667 0.150
Sm 0.667 0.333 0.850
Tl 0.667 0.333 0.359
Tl 0.333 0.667 0.641
W 0.000 0.000 0.000

Total moment (μB/cell): 1.3
Raw total energy (eV per cell): -24.386

=====

SmTlW | GGA-PBE | relaxed

abc: 4.889 4.889 4.889
angles: 60.00 60.00 60.00
Positions (direct):
Sm 0.250 0.250 0.250
Tl 0.750 0.750 0.750
W 0.000 0.000 0.000

Total moment (μB/cell): 2.2
E above lowest polymorph (meV/atom): 0